This record from the Alexandria database describes Ac3Cu3Pd2 after structural relaxation. The functional is PBE.

a b c (Å): 4.366 6.025 16.370
angles (deg): 90.00 90.00 111.24
Element x y z (fractional)
Ac (0.867, 0.735, 0.412)
Ac (0.133, 0.265, 0.912)
Ac (0.867, 0.735, 0.088)
Ac (0.133, 0.265, 0.588)
Ac (0.593, 0.186, 0.250)
Ac (0.407, 0.814, 0.750)
Cu (0.578, 0.157, 0.448)
Cu (0.422, 0.843, 0.948)
Cu (0.578, 0.157, 0.052)
Cu (0.422, 0.843, 0.552)
Cu (0.307, 0.614, 0.250)
Cu (0.693, 0.386, 0.750)
Pd (0.833, 0.667, 0.882)
Pd (0.167, 0.333, 0.382)
Pd (0.833, 0.667, 0.618)
Pd (0.167, 0.333, 0.118)

Computed properties:
formation energy from the elements = -473 meV per atom
N(E_F) = 0.59 states/eV per atom

***

This record from the Alexandria database describes AcCu6Pd6 after structural relaxation. The functional is PBE.

a b c (Å): 5.057 6.777 6.777
angles (deg): 83.12 68.09 68.09
Element x y z (fractional)
Ac (0.000, 0.000, 0.000)
Cu (0.000, 0.500, 0.000)
Cu (0.500, 0.500, 0.000)
Cu (0.000, 0.000, 0.500)
Cu (0.500, 0.000, 0.500)
Cu (0.500, 0.761, 0.239)
Cu (0.500, 0.239, 0.761)
Pd (0.346, 0.654, 0.654)
Pd (0.654, 0.346, 0.346)
Pd (0.000, 0.349, 0.651)
Pd (0.000, 0.651, 0.349)
Pd (0.297, 0.203, 0.203)
Pd (0.703, 0.797, 0.797)

Computed properties:
formation energy from the elements = -316 meV per atom
N(E_F) = 0.25 states/eV per atom

***

This record from the Alexandria database describes Ac2Cu2Pd3 after structural relaxation. The functional is PBE.

a b c (Å): 4.291 7.379 9.991
angles (deg): 90.00 102.40 90.00
Element x y z (fractional)
Ac (0.161, 0.250, 0.322)
Ac (0.839, 0.750, 0.678)
Ac (0.937, 0.250, 0.873)
Ac (0.063, 0.750, 0.127)
Cu (0.692, 0.934, 0.384)
Cu (0.308, 0.066, 0.616)
Cu (0.308, 0.434, 0.616)
Cu (0.692, 0.566, 0.384)
Pd (0.224, 0.750, 0.448)
Pd (0.776, 0.250, 0.552)
Pd (0.565, 0.437, 0.129)
Pd (0.435, 0.563, 0.871)
Pd (0.435, 0.937, 0.871)
Pd (0.565, 0.063, 0.129)

Computed properties:
formation energy from the elements = -559 meV per atom
N(E_F) = 0.39 states/eV per atom

***

This record from the Alexandria database describes AcPmCuPd after structural relaxation. The functional is PBE.

a b c (Å): 4.033 4.641 5.952
angles (deg): 90.00 109.80 90.00
Element x y z (fractional)
Ac (0.141, 0.000, 0.283)
Pm (0.866, 0.500, 0.732)
Cu (0.424, 0.000, 0.849)
Pd (0.568, 0.500, 0.136)

Computed properties:
formation energy from the elements = -479 meV per atom
N(E_F) = 1.01 states/eV per atom

***

This record from the Alexandria database describes AcPmCuPd after structural relaxation. The functional is PBE.

a b c (Å): 5.240 5.240 5.240
angles (deg): 60.00 60.00 60.00
Element x y z (fractional)
Ac (0.500, 0.500, 0.500)
Cu (0.250, 0.250, 0.250)
Pd (0.750, 0.750, 0.750)
Pm (0.000, 0.000, 0.000)

Computed properties:
formation energy from the elements = -396 meV per atom
N(E_F) = 0.95 states/eV per atom

***

This record from the Alexandria database describes Ac2Pr3Cu2Pd4 after structural relaxation. The functional is PBE.

a b c (Å): 4.425 4.425 17.540
angles (deg): 90.00 90.00 120.00
Element x y z (fractional)
Ac (0.667, 0.333, 0.402)
Ac (0.333, 0.667, 0.598)
Pr (0.000, 0.000, 0.786)
Pr (0.000, 0.000, 0.000)
Pr (0.000, 0.000, 0.214)
Cu (0.667, 0.333, 0.890)
Cu (0.333, 0.667, 0.110)
Pd (0.667, 0.333, 0.108)
Pd (0.333, 0.667, 0.892)
Pd (0.667, 0.333, 0.691)
Pd (0.333, 0.667, 0.309)

Computed properties:
formation energy from the elements = -546 meV per atom
N(E_F) = 0.72 states/eV per atom